1.
Density functional theory data (PBE) for a relaxed Rb2ReBr6Cl crystal.

Geometry as POSCAR:
```
Rb2ReBr6Cl
1.0
8.0527 0.0000 0.0000
0.0000 8.0527 0.0000
4.0264 4.0264 5.7697
Br Re Rb Cl
6 1 2 1
direct
0.2213 0.7787 0.0000
0.2183 0.2183 0.5634
0.2213 0.2213 0.0000
0.7787 0.7787 0.0000
0.7817 0.7817 0.4366
0.7787 0.2213 0.0000
0.0000 0.0000 0.0000
0.7500 0.2500 0.5000
0.2500 0.7500 0.5000
0.5000 0.5000 0.0000
```

Computed properties:
The total magnetic moment comes out at 2.00 μB per formula unit. As for the total energy: -34.1 eV per cell. The density of states at the Fermi level comes out at 13.443 states/eV/cell. Its symmetry is I4/mmm.

---

2.
Density functional theory data (PBE) for a relaxed Li3Ac2In4 crystal.

Geometry as POSCAR:
```
Li3Ac2In4
1.0
-5.6185 -3.0198 0.0775
2.3955 -4.2729 7.1708
-0.4969 7.7857 4.8053
Li Ac In
6 4 8
direct
0.5000 0.5000 0.0000
0.0000 0.0000 0.0000
0.9812 0.2500 0.4623
0.0188 0.7500 0.5377
0.4812 0.2500 0.4623
0.5188 0.7500 0.5377
0.8937 0.3995 0.7874
0.3937 0.1005 0.7874
0.1063 0.6005 0.2126
0.6063 0.8995 0.2126
0.6835 0.7500 0.8670
0.8165 0.2500 0.1330
0.6752 0.5027 0.3503
0.1835 0.7500 0.8670
0.8248 0.0027 0.6497
0.3248 0.4973 0.6497
0.3165 0.2500 0.1330
0.1752 0.9973 0.3503
```

Computed properties:
The total magnetic moment comes out at 0.00 μB per formula unit. As for the total energy: -55.9 eV per cell. The density of states at the Fermi level comes out at 9.698 states/eV/cell. Its symmetry is Cmce.

---

3.
Density functional theory data (PBE) for a relaxed CsErGe2Br8 crystal.

Geometry as POSCAR:
```
CsErGe2Br8
1.0
7.4348 0.4057 0.2516
0.5010 6.6581 -0.1961
0.3238 -0.3610 10.2735
Br Ge Er Cs
8 2 1 1
direct
0.8707 0.2816 0.2111
0.1293 0.7184 0.7889
0.3055 0.2109 0.9737
0.6945 0.7891 0.0263
0.6028 0.7443 0.3993
0.3972 0.2557 0.6007
0.1804 0.7741 0.1765
0.8196 0.2259 0.8235
0.5669 0.5571 0.1932
0.4331 0.4429 0.8068
0.0000 0.0000 0.0000
0.0000 0.0000 0.5000
```

Computed properties:
The total magnetic moment comes out at 0.00 μB per formula unit. As for the total energy: -42.2 eV per cell. The density of states at the Fermi level comes out at 0.000 states/eV/cell. Its symmetry is P-1.